The following is a DFT calculation (GGA-PBE) of an optimized crystal structure of Th3B2Ir9Pt.

Unit cell a=5.802 b=5.802 c=9.112 alpha=90.00 beta=90.00 gamma=120.00
Sites, in units of the cell vectors:
Th 0.000 0.000 0.000
Th 0.333 0.667 0.619
Th 0.667 0.333 0.381
B 0.333 0.667 0.145
B 0.667 0.333 0.855
Ir 0.000 0.500 0.000
Ir 0.160 0.321 0.271
Ir 0.160 0.840 0.271
Ir 0.321 0.160 0.729
Ir 0.500 0.000 0.000
Ir 0.500 0.500 0.000
Ir 0.679 0.840 0.271
Ir 0.840 0.160 0.729
Ir 0.840 0.679 0.729
Pt 0.000 0.000 0.500

Values from the calculation:
For the theoretical density, the calculation gives 16.5 Mg/m³. The formation energy is -0.518 eV per atom. For the calculated volume, the calculation gives 265.7 Å³ per cell.